Entry from Alexandria: an optimized crystal structure of GaRuCl2 (PBE).

Computed properties:
Energy above the lowest structure with this stoichiometry, meV per atom: 264.7
Formation energy without anion corrections, eV per atom: 0.31

abc: 4.781 4.781 4.781
angles: 60.00 60.00 60.00
Last column: magnetic moment on the atom in μB.
Atoms (fractional coordinates):
Ru  0.500  0.500  0.500  2.55
Ga  0.000  0.000  0.000  0.02
Cl  0.250  0.250  0.250  0.12
Cl  0.750  0.750  0.750  0.12

***

Entry from Alexandria: an optimized crystal structure of GaRuCl2 (PBE).

Computed properties:
Energy above the lowest structure with this stoichiometry, meV per atom: 0.0
Formation energy without anion corrections, eV per atom: 0.04

abc: 9.081 9.081 9.081
angles: 22.42 22.42 22.42
Atoms (fractional coordinates):
Ru  0.500  0.500  0.500
Ga  0.000  0.000  0.000
Cl  0.882  0.882  0.882
Cl  0.118  0.118  0.118

***

Entry from Alexandria: an optimized crystal structure of GaRuSCl2 (PBE).

Computed properties:
Energy above the lowest structure with this stoichiometry, meV per atom: 0.0
Formation energy without anion corrections, eV per atom: -0.17

abc: 4.987 4.987 4.339
angles: 90.00 90.00 90.00
Atoms (fractional coordinates):
Ru  0.000  0.000  0.000
S  0.000  0.000  0.500
Ga  0.500  0.500  0.500
Cl  0.000  0.500  0.000
Cl  0.500  0.000  0.000

***

Entry from Alexandria: an optimized crystal structure of GaRuS2Cl (PBE).

Computed properties:
Energy above the lowest structure with this stoichiometry, meV per atom: 0.0
Formation energy without anion corrections, eV per atom: 0.02

abc: 4.599 4.599 5.118
angles: 90.00 90.00 90.00
Atoms (fractional coordinates):
Ru  0.000  0.000  0.000
S  0.000  0.500  0.000
S  0.500  0.000  0.000
Ga  0.500  0.500  0.500
Cl  0.000  0.000  0.500

***

Entry from Alexandria: an optimized crystal structure of GaRuSCl2 (PBE).

Computed properties:
Energy above the lowest structure with this stoichiometry, meV per atom: 648.4
Formation energy without anion corrections, eV per atom: 0.47

abc: 4.798 4.798 4.770
angles: 90.00 90.00 90.00
Last column: magnetic moment on the atom in μB.
Atoms (fractional coordinates):
Ru  0.500  0.500  0.500  2.87
S  0.000  0.000  0.500  0.09
Ga  0.000  0.000  0.000  0.00
Cl  0.000  0.500  0.000  0.05
Cl  0.500  0.000  0.000  0.05

***

Entry from Alexandria: an optimized crystal structure of GaRuS2Cl (PBE).

Computed properties:
Energy above the lowest structure with this stoichiometry, meV per atom: 657.4
Formation energy without anion corrections, eV per atom: 0.68

abc: 4.711 4.711 4.739
angles: 90.00 90.00 90.00
Last column: magnetic moment on the atom in μB.
Atoms (fractional coordinates):
Ru  0.500  0.500  0.500  3.00
S  0.000  0.500  0.000  0.15
S  0.500  0.000  0.000  0.15
Ga  0.000  0.000  0.000  0.00
Cl  0.000  0.000  0.500  0.08

***

Entry from Alexandria: an optimized crystal structure of GaS4Cl (PBE).

Computed properties:
Formation energy without anion corrections, eV per atom: -0.13

abc: 6.581 3.863 19.335
angles: 84.27 86.45 51.71
Atoms (fractional coordinates):
Ga  0.750  0.839  0.323
Ga  0.250  0.161  0.677
S  0.084  0.618  0.393
S  0.136  0.784  0.066
S  0.584  0.011  0.607
S  0.636  0.849  0.934
S  0.916  0.382  0.607
S  0.416  0.989  0.393
S  0.864  0.216  0.934
S  0.364  0.151  0.066
Cl  0.750  0.378  0.244
Cl  0.250  0.622  0.756

***

Entry from Alexandria: an optimized crystal structure of GaS2Cl8 (PBE).

Computed properties:
Formation energy without anion corrections, eV per atom: -0.37

abc: 7.164 7.624 7.839
angles: 80.08 90.00 118.02
Atoms (fractional coordinates):
Ga  0.000  0.000  0.000
S  0.197  0.393  0.380
S  0.803  0.607  0.620
Cl  0.181  0.914  0.823
Cl  0.266  0.086  0.177
Cl  0.281  0.561  0.567
Cl  0.719  0.439  0.433
Cl  0.734  0.914  0.823
Cl  0.819  0.086  0.177
Cl  0.300  0.600  0.160
Cl  0.700  0.400  0.840

***

Entry from Alexandria: an optimized crystal structure of GaS3Cl2 (PBE).

Computed properties:
Formation energy without anion corrections, eV per atom: -0.35

abc: 16.479 11.197 11.197
angles: 33.91 22.79 22.79
Atoms (fractional coordinates):
Ga  0.500  0.000  0.000
Ga  0.000  0.000  0.000
S  0.750  0.318  0.682
S  0.250  0.682  0.318
S  0.905  0.763  0.788
S  0.595  0.212  0.237
S  0.095  0.237  0.212
S  0.405  0.788  0.763
Cl  0.856  0.472  0.846
Cl  0.644  0.154  0.528
Cl  0.356  0.846  0.472
Cl  0.144  0.528  0.154

***

Entry from Alexandria: an optimized crystal structure of Ga2S8Cl (PBE).

Computed properties:
Formation energy without anion corrections, eV per atom: -0.17

abc: 12.424 9.366 7.921
angles: 79.26 149.88 117.50
Atoms (fractional coordinates):
Ga  0.380  0.112  0.312
Ga  0.620  0.888  0.688
S  0.713  0.130  0.922
S  0.493  0.368  0.270
S  0.825  0.153  0.358
S  0.175  0.847  0.642
S  0.507  0.632  0.730
S  0.287  0.870  0.078
S  0.173  0.378  0.861
S  0.827  0.622  0.139
Cl  0.000  0.000  0.000

***

Entry from Alexandria: an optimized crystal structure of Ga2S2Cl7 (PBE).

Computed properties:
Formation energy without anion corrections, eV per atom: -0.75

abc: 7.422 7.613 7.422
angles: 94.19 100.88 94.19
Last column: magnetic moment on the atom in μB.
Atoms (fractional coordinates):
Ga  0.762  0.571  0.762  0.00
Ga  0.238  0.429  0.238  0.00
S  0.919  0.000  0.081  0.30
S  0.081  0.000  0.919  0.30
Cl  0.084  0.265  0.398  0.00
Cl  0.602  0.735  0.916  0.00
Cl  0.916  0.735  0.602  0.00
Cl  0.398  0.265  0.084  0.00
Cl  0.000  0.500  0.000  0.00
Cl  0.365  0.680  0.365  0.00
Cl  0.635  0.320  0.635  0.00

***

Entry from Alexandria: an optimized crystal structure of Ga2S6Cl (PBE).

Computed properties:
Formation energy without anion corrections, eV per atom: -0.33

abc: 6.716 6.716 14.271
angles: 99.65 99.65 50.39
Atoms (fractional coordinates):
Ga  0.317  0.348  0.291
Ga  0.652  0.683  0.209
Ga  0.683  0.652  0.709
Ga  0.348  0.317  0.791
S  0.210  0.543  0.447
S  0.457  0.790  0.053
S  0.790  0.457  0.553
S  0.543  0.210  0.947
S  0.954  0.517  0.839
S  0.483  0.046  0.661
S  0.046  0.483  0.161
S  0.517  0.954  0.339
S  0.133  0.826  0.035
S  0.174  0.867  0.465
S  0.867  0.174  0.965
S  0.826  0.133  0.535
Cl  0.655  0.345  0.250
Cl  0.345  0.655  0.750

***

no.,energy (eV/atom)
1,-3.69
2,-3.96
3,-4.20
4,-4.46
5,-3.55
6,-3.80
7,-3.70
8,-2.73
9,-3.53
10,-3.89
11,-3.23
12,-3.95